The following is a DFT calculation (PBE-GGA) of a relaxed structure of Ca2MnC.

Cell lengths 7.2983, 7.2983, 7.2983 Å; angles 93.90, 93.90, 149.75 degrees
Element x y z (fractional)
Ca 0.3750 0.1894 0.3144
Ca 0.8106 0.1250 0.1856
Ca 0.8750 0.0606 0.6856
Ca 0.9394 0.6250 0.8144
Mn 0.2500 0.7500 0.5000
Mn 0.5000 0.5000 0.0000
C 0.0000 0.0000 0.0000
C 0.7500 0.2500 0.5000

Output
calculated formation energy = 196 meV per atom
crystal system = tetragonal


The following is a DFT calculation (PBE-GGA) of a relaxed structure of Ca2FePt.

Cell lengths 6.3048, 6.3048, 6.3048 Å; angles 102.57, 102.57, 124.38 degrees
Element x y z (fractional)
Ca 0.1061 0.6250 0.9811
Ca 0.3750 0.3561 0.4811
Ca 0.6439 0.1250 0.0189
Ca 0.8750 0.8939 0.5189
Fe 0.2500 0.7500 0.5000
Fe 0.5000 0.5000 0.0000
Pt 0.0000 0.0000 0.0000
Pt 0.7500 0.2500 0.5000

Output
calculated formation energy = 159 meV per atom
crystal system = tetragonal


The following is a DFT calculation (PBE-GGA) of a relaxed structure of NbPd2Pt9.

Cell lengths 3.9786, 3.9786, 11.9150 Å; angles 90.00, 90.00, 90.00 degrees
Element x y z (fractional)
Nb 0.0000 0.0000 0.0000
Pd 0.0000 0.0000 0.3351
Pd 0.0000 0.0000 0.6649
Pt 0.0000 0.5000 0.1629
Pt 0.0000 0.5000 0.5000
Pt 0.0000 0.5000 0.8371
Pt 0.5000 0.0000 0.1629
Pt 0.5000 0.0000 0.5000
Pt 0.5000 0.0000 0.8371
Pt 0.5000 0.5000 0.0000
Pt 0.5000 0.5000 0.3317
Pt 0.5000 0.5000 0.6683

Output
calculated formation energy = -269 meV per atom
crystal system = tetragonal